(1)
# TaRh2Se

Crystalline TaRh2Se at its relaxed geometry (GGA-PBEsol, Alexandria via LeMat-Bulk).

Calculated density = 12.54 g cm⁻³
Total energy = -8.53 eV per atom

Cell: 3.373 3.373 5.419 Å, 90.00 90.00 90.00°
Element x y z (fractional)
Ta: 0.000 0.000 0.000
Rh: 0.500 0.500 0.241
Rh: 0.500 0.500 0.759
Se: 0.000 0.000 0.500

(2)
# TaRhSe3

Crystalline TaRhSe3 at its relaxed geometry (GGA-PBEsol, Alexandria via LeMat-Bulk).

Calculated density = 7.29 g cm⁻³
Total energy = -5.87 eV per atom

Cell: 4.914 4.914 4.914 Å, 90.00 90.00 90.00°
Element x y z (fractional)
Ta: 0.000 0.000 0.000
Rh: 0.500 0.500 0.500
Se: 0.000 0.000 0.500
Se: 0.000 0.500 0.000
Se: 0.500 0.000 0.000